PaTlCoO4 | GGA+U | optimized geometry

The value obtained for the total energy is -7.35 eV/atom.

Lattice parameters (Å, degrees): 7.1308 7.1308 7.1308 128.74 119.51 83.20
Fractional coordinates of all 14 atoms:
1 Pa 0.0000 0.0000 0.0000
2 Pa 0.5000 0.0000 0.5000
3 Tl 0.4263 0.6763 0.7500
4 Tl 0.5737 0.3237 0.2500
5 Co 0.0000 0.0000 0.5000
6 Co 0.0000 0.5000 0.0000
7 O 0.1336 0.2007 0.9329
8 O 0.2323 0.7993 0.4329
9 O 0.2568 0.2177 0.4608
10 O 0.2568 0.7960 0.0392
11 O 0.7432 0.2040 0.9608
12 O 0.7432 0.7823 0.5392
13 O 0.7677 0.2007 0.5671
14 O 0.8664 0.7993 0.0671